A relaxed structure of Ca2TaAg, computed with PBE.

a b c (Å): 4.2636 3.2732 7.8585
angles (deg): 65.38 90.00 90.00
Last column: magnetic moment on the atom in μB.
Atoms (fractional coordinates):
Ca  0.0000  0.4953  0.5040  0.04
Ca  0.0000  0.0047  0.9960  0.04
Ta  0.5000  0.2500  0.2500  0.66
Ag  0.5000  0.7500  0.7500  0.00

Output
As for the calculated formation energy: 521 meV per atom. The spin magnetization comes out at 1.20 μB per formula unit. The density of states at the Fermi level is 0.9062 states/eV per atom. For the offset from the most stable computed form, the calculation gives 0.177 eV per atom.